[1]
Cd5In7Hg: relaxed, GGA-PBE.

Values from the calculation:
The total energy comes out at -23.109 eV per cell. The calculation puts the total magnetization at 0.0 μB per cell. As for the density: 7.4 g/cm³. The density of states at the Fermi level comes out at 0.435 states/eV per atom. The calculated volume is 349.5 Å³/cell. As for the formation energy: 0.07 eV/atom.

a b c (Å): 6.6668 7.9816 7.9816
angles (deg): 76.12 65.31 65.31
With the nearest neighbours (Å) after each atom.
Element x y z (fractional)
In1 0.6664 0.3336 0.3336  3 In 3.10-3.46, 4 Cd 3.21, 1 Hg 3.42
In2 0.3751 0.6249 0.6249  3 In 3.10-3.41, 4 Cd 3.17
In3 0.9964 0.3246 0.6827  1 Hg 3.16, 5 Cd 3.17-3.25, 2 In 3.26-3.52
In4 0.2540 0.2460 0.2460  4 Cd 3.03, 4 In 3.17-3.26
In5 0.5004 0.8189 0.1804  5 Cd 3.17-3.27, 2 In 3.17-3.41
In6 0.5004 0.1804 0.8189  5 Cd 3.17-3.27, 2 In 3.17-3.41
In7 0.9964 0.6827 0.3246  1 Hg 3.16, 5 Cd 3.17-3.25, 2 In 3.26-3.52
Hg1 0.9869 0.0131 0.0131  3 In 3.16-3.42
Cd1 0.4845 0.5177 0.9946  2 Cd 2.92-3.21, 6 In 3.03-3.25
Cd2 0.0032 0.9946 0.5177  2 Cd 2.92-3.21, 6 In 3.03-3.25
Cd3 0.0032 0.5177 0.9946  2 Cd 2.92-3.21, 6 In 3.03-3.25
Cd4 0.4845 0.9946 0.5177  2 Cd 2.92-3.21, 6 In 3.03-3.25
Cd5 0.7487 0.7513 0.7513  4 Cd 2.92, 4 In 3.17-3.19



[2]
LiTeI2N: relaxed, GGA-PBE.

Values from the calculation:
The total energy comes out at -11.449 eV per cell. The energy relative to the elements, uncorrected comes out at 1.01 eV/atom. The calculation puts the total magnetization at 2.2 μB per cell. As for the density: 4.2 g/cm³. The density of states at the Fermi level comes out at 1.184 states/eV per atom. The calculated volume is 158.9 Å³/cell.

a b c (Å): 5.5330 5.5330 5.1921
angles (deg): 90.00 90.00 90.00
With the nearest neighbours (Å) after each atom.
Element x y z (fractional)
N1 0.5000 0.5000 0.5000  8 I 3.79, 4 Te 3.91
I1 0.5000 0.0000 0.0000  2 Li 2.77
I2 0.0000 0.5000 0.0000  2 Li 2.77
Te1 0.0000 0.0000 0.5000  2 Li 2.60
Li1 0.0000 0.0000 0.0000  2 Te 2.60, 4 I 2.77



[3]
ZnInB: relaxed, GGA-PBE.

Values from the calculation:
The total energy comes out at -18.737 eV per cell. The calculation puts the total magnetization at 0.0 μB per cell. As for the density: 5.9 g/cm³. The density of states at the Fermi level comes out at 0.225 states/eV per atom. The calculated volume is 108.2 Å³/cell. As for the formation energy: 0.44 eV/atom.

a b c (Å): 4.4293 4.9533 6.5477
angles (deg): 124.64 109.40 89.85
With the nearest neighbours (Å) after each atom.
Element x y z (fractional)
B1 0.4214 0.9640 0.8305  1 B 1.64
B2 0.4412 0.3576 0.0683  1 B 1.64
In1 0.7829 0.8478 0.1809  2 B 2.44-2.69
In2 0.0793 0.4737 0.7177  2 B 2.45-2.69
Zn1 0.4316 0.6610 0.4495  2 B 2.07
Zn2 0.9314 0.1608 0.9494  2 B 2.15